Si2TcHg | meta-GGA SCAN | PBEsol geometry

Cell: 3.9976 3.9976 7.5620 Å, 90.00 90.00 90.00°
Last column: nearest neighbours and their distance in Å.
Space group I4/mmm (No. 139)
One atom of each set of equivalent atoms:
Si1 0.0000 0.5000 0.2500 (multiplicity 4)  4 Hg 2.75, 4 Tc 2.75, 4 Si 2.83
Tc1 0.0000 0.0000 0.0000 (multiplicity 2)  8 Si 2.75, 4 Hg 2.83
Hg1 0.0000 0.0000 0.5000 (multiplicity 2)  8 Si 2.75, 4 Tc 2.83

Magnetization ... 1.5 μB/cell
Total energy ... -30.293 eV/atom
Formation energy without anion corrections ... 0.521 eV per atom